a) AgPdF3: optimized geometry, PBE-GGA.

a = 4.2495 Å, b = 4.2495 Å, c = 4.2495 Å
α = 90.00°, β = 90.00°, γ = 90.00°
Element x y z (fractional)
Pd 0.0000 0.0000 0.0000
Ag 0.5000 0.5000 0.5000
F 0.0000 0.5000 0.0000
F 0.0000 0.0000 0.5000
F 0.5000 0.0000 0.0000

b) AgPdF3: optimized geometry, PBE-GGA.

a = 4.1433 Å, b = 5.4727 Å, c = 6.7382 Å
α = 90.00°, β = 90.00°, γ = 90.23°
Element x y z (fractional)
Ag 0.2938 0.3938 0.2500
Ag 0.7062 0.6062 0.7500
Pd 0.0000 0.0000 0.0000
Pd 0.0000 0.0000 0.5000
F 0.7365 0.3030 0.4834
F 0.2635 0.6970 0.5166
F 0.2635 0.6970 0.9834
F 0.7365 0.3030 0.0166
F 0.7937 0.8722 0.2500
F 0.2063 0.1278 0.7500

Relative to the most stable one, in meV per atom, the structures come out at a) 121; b) 0.

a) AgPdF3: optimized geometry, PBE-GGA.

a = 4.3189 Å, b = 4.3189 Å, c = 4.3189 Å
α = 90.00°, β = 90.00°, γ = 90.00°
Each line ends with the local moment (μB).
Element x y z (fractional)
Pd 0.5000 0.5000 0.5000  0.82
Ag 0.0000 0.0000 0.0000  0.05
F 0.0000 0.5000 0.0000  0.04
F 0.0000 0.0000 0.5000  0.03
F 0.5000 0.0000 0.0000  0.02

b) AgPdF3: optimized geometry, PBE-GGA.

a = 3.2913 Å, b = 7.7194 Å, c = 6.2054 Å
α = 90.00°, β = 90.00°, γ = 90.00°
Each line ends with the local moment (μB).
Element x y z (fractional)
Ag 0.5000 0.2499 0.2441  0.08
Ag 0.5000 0.7501 0.7441  0.08
Pd 0.0000 0.7499 0.3557  0.65
Pd 0.0000 0.2501 0.8557  0.65
F 0.5000 0.5792 0.3563  0.07
F 0.5000 0.0794 0.8564  0.07
F 0.0000 0.2499 0.4920  0.07
F 0.5000 0.4208 0.8563  0.07
F 0.0000 0.7501 0.9920  0.07
F 0.5000 0.9206 0.3564  0.07

Relative to the most stable one, in meV per atom, the structures come out at a) 369; b) 0.

a) AgPdF2: optimized geometry, PBE-GGA.

a = 6.3970 Å, b = 6.3970 Å, c = 5.3758 Å
α = 53.49°, β = 53.49°, γ = 90.00°
Each line ends with the local moment (μB).
Element x y z (fractional)
Pd 0.5000 0.5000 0.0000  0.82
Pd 0.2500 0.7500 0.5000  0.82
Ag 0.0000 0.0000 0.0000  0.01
Ag 0.7500 0.2500 0.5000  0.01
F 0.5996 0.1250 0.2500  0.08
F 0.1504 0.6250 0.2500  0.08
F 0.3750 0.4004 0.7500  0.08
F 0.8750 0.8496 0.7500  0.08

b) AgPdF2: optimized geometry, PBE-GGA.

a = 7.7441 Å, b = 7.7441 Å, c = 7.7441 Å
α = 22.17°, β = 22.17°, γ = 22.17°
Element x y z (fractional)
Pd 0.0000 0.0000 0.0000
Ag 0.5000 0.5000 0.5000
F 0.9108 0.9108 0.9108
F 0.0892 0.0892 0.0892

Relative to the most stable one, in meV per atom, the structures come out at a) 181; b) 0.

a) AgPdF6: optimized geometry, PBE-GGA.

a = 5.1450 Å, b = 5.1925 Å, c = 10.2002 Å
α = 76.33°, β = 77.00°, γ = 61.16°
Each line ends with the local moment (μB).
Element x y z (fractional)
Ag 0.5000 0.5000 0.5000  0.48
Ag 0.0000 0.0000 0.0000  0.49
Pd 0.2935 0.2192 0.2499  0.12
Pd 0.7065 0.7808 0.7501  0.12
F 0.9596 0.4734 0.3661  0.03
F 0.0404 0.5266 0.6339  0.03
F 0.6335 0.9492 0.1335  0.10
F 0.3665 0.0508 0.8665  0.10
F 0.6716 0.4421 0.8643  0.03
F 0.3284 0.5579 0.1357  0.03
F 0.9843 0.7356 0.8680  0.08
F 0.0157 0.2644 0.1320  0.08
F 0.4363 0.8154 0.6319  0.09
F 0.5637 0.1846 0.3681  0.09
F 0.7576 0.1243 0.6359  0.10
F 0.2424 0.8757 0.3641  0.10

b) AgPdF6: optimized geometry, PBE-GGA.

a = 5.1893 Å, b = 5.1905 Å, c = 5.7402 Å
α = 63.14°, β = 63.09°, γ = 59.96°
Each line ends with the local moment (μB).
Element x y z (fractional)
Ag 0.5000 0.5000 0.5000  0.48
Pd 0.0000 0.0000 0.0000  0.12
F 0.0745 0.3857 0.7666  0.07
F 0.7728 0.0744 0.7669  0.07
F 0.6138 0.2278 0.2331  0.07
F 0.2272 0.9256 0.2331  0.07
F 0.9255 0.6143 0.2334  0.07
F 0.3862 0.7722 0.7669  0.07

Relative to the most stable one, in meV per atom, the structures come out at a) 0; b) 6.

a) Ag2Pd2F7: optimized geometry, PBE-GGA.

a = 6.3261 Å, b = 5.4265 Å, c = 5.4265 Å
α = 102.98°, β = 96.05°, γ = 96.05°
Each line ends with the local moment (μB).
Element x y z (fractional)
Ag 0.0000 0.2774 0.7226  -0.03
Ag 0.0000 0.7226 0.2774  -0.03
Pd 0.4815 0.3069 0.3069  0.42
Pd 0.5185 0.6931 0.6931  0.42
F 0.7696 0.8897 0.5715  0.05
F 0.2304 0.4285 0.1103  0.05
F 0.2304 0.1103 0.4285  0.05
F 0.7696 0.5715 0.8897  0.05
F 0.5000 0.0000 0.0000  0.00
F 0.1972 0.6466 0.6466  0.01
F 0.8028 0.3534 0.3534  0.01

b) Ag2Pd2F7: optimized geometry, PBE-GGA.

a = 6.4426 Å, b = 5.5798 Å, c = 5.5798 Å
α = 105.84°, β = 95.13°, γ = 95.13°
Each line ends with the local moment (μB).
Element x y z (fractional)
Ag 0.4541 0.2995 0.2995  -0.05
Ag 0.5459 0.7005 0.7005  -0.05
Pd 0.0000 0.3133 0.6867  1.17
Pd 0.0000 0.6867 0.3133  1.17
F 0.8203 0.9189 0.5645  0.10
F 0.1797 0.4355 0.0811  0.10
F 0.1797 0.0811 0.4355  0.10
F 0.8203 0.5645 0.9189  0.10
F 0.5000 0.0000 0.0000  -0.04
F 0.1956 0.6339 0.6339  0.15
F 0.8044 0.3661 0.3661  0.15

Relative to the most stable one, in meV per atom, the structures come out at a) 6; b) 0.

a) PmAgF4: optimized geometry, PBE-GGA.

a = 6.6636 Å, b = 6.6636 Å, c = 6.6636 Å
α = 109.60°, β = 109.60°, γ = 109.22°
Element x y z (fractional)
Pm 0.7407 0.7407 0.0000
Pm 0.4907 0.9907 0.5000
Ag 0.2595 0.2595 0.0000
Ag 0.0095 0.5095 0.5000
F 0.2851 0.9888 0.7037
F 0.7148 0.4164 0.7016
F 0.7388 0.5351 0.2037
F 0.1664 0.9648 0.2016
F 0.3313 0.5351 0.7963
F 0.7632 0.9648 0.7984
F 0.7148 0.0132 0.2984
F 0.2851 0.5813 0.2963

b) PmAgF4: optimized geometry, PBE-GGA.

a = 5.7839 Å, b = 5.7839 Å, c = 6.9329 Å
α = 114.65°, β = 114.65°, γ = 90.00°
Each line ends with the local moment (μB).
Element x y z (fractional)
Pm 0.2500 0.7500 0.5000  0.00
Pm 0.5000 0.5000 0.0000  0.00
Ag 0.0000 0.0000 0.0000  0.09
Ag 0.7500 0.2500 0.5000  0.09
F 0.1542 0.1250 0.7500  0.00
F 0.8750 0.8458 0.2500  0.00
F 0.1542 0.6250 0.7500  0.00
F 0.3750 0.4042 0.2500  0.00
F 0.5958 0.1250 0.7500  0.00
F 0.5958 0.6250 0.7500  0.00
F 0.3750 0.8458 0.2500  0.00
F 0.8750 0.4042 0.2500  0.00

Relative to the most stable one, in meV per atom, the structures come out at a) 68; b) 0.